Entry from the Alexandria database: a relaxed KZn2Ga4Pd crystal (PBE).

abc: 4.3246 4.3246 10.6478
angles: 78.28 78.28 60.00
Positions (direct):
Pd (0.5000, 0.5000, 0.5000)
Ga (0.5892, 0.5892, 0.2325)
Zn (0.2377, 0.2377, 0.2868)
Ga (0.4108, 0.4108, 0.7675)
Ga (0.8657, 0.8657, 0.4029)
Ga (0.1343, 0.1343, 0.5971)
K (0.0000, 0.0000, 0.0000)
Zn (0.7623, 0.7623, 0.7132)

- total energy (eV/atom) = -2.786
- size of the total moment (Bohr magnetons per cell) = 0.0
- calculated formation energy (eV/atom) = -0.168
- crystal system = trigonal
- symmetry = R-3m

Entry from the Alexandria database: a relaxed Ca2Mg2CdPd5 crystal (PBE).

abc: 3.7059 10.2034 10.2034
angles: 90.00 90.00 90.00
Positions (direct):
Mg (0.0000, 0.1236, 0.6236)
Pd (0.5000, 0.9382, 0.2031)
Cd (0.0000, 0.5000, 0.5000)
Pd (0.5000, 0.5000, 0.0000)
Pd (0.5000, 0.5618, 0.7031)
Pd (0.5000, 0.4382, 0.2969)
Pd (0.5000, 0.2031, 0.0618)
Pd (0.5000, 0.7031, 0.4382)
Ca (0.0000, 0.8239, 0.6761)
Pd (0.5000, 0.0618, 0.7969)
Pd (0.5000, 0.2969, 0.5618)
Ca (0.0000, 0.1761, 0.3239)
Pd (0.5000, 0.0000, 0.5000)
Pd (0.5000, 0.7969, 0.9382)
Ca (0.0000, 0.3239, 0.8239)
Cd (0.0000, 0.0000, 0.0000)
Ca (0.0000, 0.6761, 0.1761)
Mg (0.0000, 0.8764, 0.3764)
Mg (0.0000, 0.3764, 0.1236)
Mg (0.0000, 0.6236, 0.8764)

- total energy (eV/atom) = -3.953
- size of the total moment (Bohr magnetons per cell) = 0.0
- calculated formation energy (eV/atom) = -0.546
- crystal system = tetragonal
- symmetry = P4/mbm

Entry from the Alexandria database: a relaxed IrOsBr2 crystal (PBE).

abc: 4.5177 4.5177 4.5177
angles: 110.19 110.19 108.04
Positions (direct):
Br (0.0000, 0.0000, 0.0000)
Os (0.7500, 0.2500, 0.5000)
Ir (0.5000, 0.5000, 0.0000)
Br (0.2500, 0.7500, 0.5000)

- total energy (eV/atom) = -4.370
- formation energy (no corrections) (eV/atom) = 1.489
- size of the total moment (Bohr magnetons per cell) = 0.0
- crystal system = tetragonal
- symmetry = I-4m2

Entry from the Alexandria database: a relaxed LaHo2Mg9 crystal (PBE).

abc: 6.0585 6.0585 10.4225
angles: 73.10 73.10 60.00
Positions (direct):
Mg (0.4122, 0.9202, 0.2553)
La (0.0000, 0.0000, 0.0000)
Mg (0.5878, 0.0798, 0.7447)
Mg (0.9202, 0.4122, 0.2553)
Mg (0.3341, 0.3341, 0.9977)
Mg (0.0798, 0.5878, 0.7447)
Mg (0.5000, 0.5000, 0.5000)
Mg (0.5878, 0.5878, 0.7447)
Ho (0.1454, 0.1454, 0.5638)
Mg (0.4122, 0.4122, 0.2553)
Mg (0.6659, 0.6659, 0.0023)
Ho (0.8546, 0.8546, 0.4362)

- total energy (eV/atom) = -2.433
- size of the total moment (Bohr magnetons per cell) = 0.0
- calculated formation energy (eV/atom) = -0.063
- crystal system = trigonal
- symmetry = R-3m

Entry from the Alexandria database: a relaxed Rb2Pa2TcN6 crystal (PBE).

abc: 5.8655 5.8655 7.0136
angles: 96.62 96.62 119.80
Last column: magnetic moment on the atom in μB.
Positions (direct):
N (0.9590, 0.6429, 0.3507)  0.01
Rb (0.8400, 0.1600, 0.0000)  0.00
Rb (0.1600, 0.8400, 0.0000)  0.00
N (0.6429, 0.9590, 0.3507)  0.01
Pa (0.6652, 0.3348, 0.5000)  0.04
N (0.2583, 0.2583, 0.3479)  -0.01
N (0.7417, 0.7417, 0.6521)  -0.01
N (0.0410, 0.3571, 0.6493)  0.01
Tc (0.0000, 0.0000, 0.5000)  0.40
N (0.3571, 0.0410, 0.6493)  0.01
Pa (0.3348, 0.6652, 0.5000)  0.04

- total energy (eV/atom) = -8.066
- formation energy (no corrections) (eV/atom) = -0.680
- size of the total moment (Bohr magnetons per cell) = 0.5
- crystal system = monoclinic
- symmetry = C2/m

Entry from the Alexandria database: a relaxed SmTlGe2 crystal (PBE).

abc: 4.2963 4.6425 4.6425
angles: 90.00 90.00 90.00
Positions (direct):
Tl (0.5000, 0.0000, 0.0000)
Ge (0.0000, 0.0000, 0.5000)
Ge (0.0000, 0.5000, 0.0000)
Sm (0.5000, 0.5000, 0.5000)

- total energy (eV/atom) = -4.411
- size of the total moment (Bohr magnetons per cell) = 0.0
- calculated formation energy (eV/atom) = -0.331
- crystal system = tetragonal
- symmetry = P4/mmm

Entry from the Alexandria database: a relaxed Pm4Sm4Th crystal (PBE).

abc: 5.1545 8.1190 8.1190
angles: 84.22 71.49 71.49
Positions (direct):
Sm (0.3373, 0.3255, 0.9999)
Sm (0.3372, 0.0001, 0.3255)
Pm (0.6699, 0.3300, 0.3303)
Pm (0.9999, 0.3303, 0.6700)
Pm (0.0001, 0.6697, 0.3300)
Pm (0.3301, 0.6700, 0.6697)
Sm (0.6628, 0.9999, 0.6745)
Sm (0.6627, 0.6745, 0.0001)
Th (0.0000, 0.0000, 0.0000)

- total energy (eV/atom) = -5.004
- size of the total moment (Bohr magnetons per cell) = 0.0
- calculated formation energy (eV/atom) = 0.029
- crystal system = tetragonal
- symmetry = I4/mmm

Copy entry 6 word for word.
Entry from the Alexandria database: a relaxed SmTlGe2 crystal (PBE).

abc: 4.2963 4.6425 4.6425
angles: 90.00 90.00 90.00
Positions (direct):
Tl (0.5000, 0.0000, 0.0000)
Ge (0.0000, 0.0000, 0.5000)
Ge (0.0000, 0.5000, 0.0000)
Sm (0.5000, 0.5000, 0.5000)

- total energy (eV/atom) = -4.411
- size of the total moment (Bohr magnetons per cell) = 0.0
- calculated formation energy (eV/atom) = -0.331
- crystal system = tetragonal
- symmetry = P4/mmm